The following is a PBE calculation of crystalline FeBr2Cl at its relaxed geometry, from Alexandria via LeMat-Bulk.

Calculated density, g/cm³: 3.8
Energy relative to the elements, uncorrected, eV/f.u.: 1.15
Excess energy over the best structure of this formula in the dataset, kJ/mol of atoms: 77.3
M_tot, μB/cell: 7.22

a b c (Å): 5.0786 8.6401 5.0551
angles (deg): 90.00 90.00 90.00
With the nearest neighbours (Å) after each atom.
Space group Cmmm (No. 65)
Asymmetric unit:
1 Fe 0.0000 0.0000 0.0000 (multiplicity 2)  2 Cl 2.54
2 Br 0.2500 0.2500 0.5000 (multiplicity 4)  2 Br 2.54
3 Cl 0.0000 0.5000 0.0000 (multiplicity 2)  2 Fe 2.54

=====

The following is a PBE calculation of crystalline Fe2BrCl at its relaxed geometry, from Alexandria via LeMat-Bulk.

Calculated density, g/cm³: 4.5
Energy relative to the elements, uncorrected, eV/f.u.: -0.48
Excess energy over the best structure of this formula in the dataset, kJ/mol of atoms: 0.1
M_tot, μB/cell: 19.17

a b c (Å): 3.3092 3.3092 26.3587
angles (deg): 90.00 90.00 120.00
With the nearest neighbours (Å) after each atom.
Space group R3m (No. 160, hexagonal axes)
Asymmetric unit:
1 Fe 0.0000 0.0000 0.0000 (multiplicity 3)  3 Br 2.53, 3 Fe 2.58
2 Fe 0.0000 0.0000 0.2673 (multiplicity 3)  3 Cl 2.42, 3 Fe 2.58
3 Br 0.0000 0.0000 0.7296 (multiplicity 3)  3 Fe 2.53
4 Cl 0.0000 0.0000 0.5445 (multiplicity 3)  3 Fe 2.42

=====

The following is a PBE calculation of crystalline Fe2BrCl at its relaxed geometry, from Alexandria via LeMat-Bulk.

Calculated density, g/cm³: 6.8
Energy relative to the elements, uncorrected, eV/f.u.: 4.03
Excess energy over the best structure of this formula in the dataset, kJ/mol of atoms: 108.9
M_tot, μB/cell: 0.00

a b c (Å): 6.0677 6.0677 6.0677
angles (deg): 90.00 90.00 90.00
With the nearest neighbours (Å) after each atom.
Space group Fm-3m (No. 225)
Asymmetric unit:
1 Fe 0.2500 0.2500 0.2500 (multiplicity 8)  4 Cl 2.63, 4 Br 2.63
2 Br 0.0000 0.0000 0.0000 (multiplicity 4)  8 Fe 2.63
3 Cl 0.0000 0.0000 0.5000 (multiplicity 4)  8 Fe 2.63

=====

The following is a PBE calculation of crystalline FeBr2Cl2 at its relaxed geometry, from Alexandria via LeMat-Bulk.

Calculated density, g/cm³: 3.6
Energy relative to the elements, uncorrected, eV/f.u.: 0.74
Excess energy over the best structure of this formula in the dataset, kJ/mol of atoms: 0.0
M_tot, μB/cell: 7.57

a b c (Å): 7.0362 7.0362 5.3337
angles (deg): 90.00 90.00 90.00
With the nearest neighbours (Å) after each atom.
Space group P4/mbm (No. 127)
Asymmetric unit:
1 Fe 0.0000 0.0000 0.0000 (multiplicity 2)  4 Br 2.56
2 Br 0.1898 0.3102 0.0000 (multiplicity 4)  2 Fe 2.56, 2 Cl 2.67
3 Cl 0.1918 0.3082 0.5000 (multiplicity 4)  2 Br 2.67

=====

The following is a PBE calculation of crystalline FeBrCl at its relaxed geometry, from Alexandria via LeMat-Bulk.

Calculated density, g/cm³: 2.9
Energy relative to the elements, uncorrected, eV/f.u.: -1.71
Excess energy over the best structure of this formula in the dataset, kJ/mol of atoms: 0.0
M_tot, μB/cell: 16.00

a b c (Å): 7.4441 7.9998 7.0056
angles (deg): 90.00 112.19 90.00
With the nearest neighbours (Å) after each atom.
Space group P2_1/c (No. 14)
Asymmetric unit:
1 Fe 0.1171 0.1252 0.1082 (multiplicity 4)  2 Cl 2.29, 2 Br 2.45-2.46
2 Br 0.2519 0.1362 0.4859 (multiplicity 4)  2 Fe 2.45-2.46
3 Cl 0.2143 0.6232 0.5167 (multiplicity 4)  2 Fe 2.29

=====

The following is a PBE calculation of crystalline Fe2Br2Cl7 at its relaxed geometry, from Alexandria via LeMat-Bulk.

Calculated density, g/cm³: 2.2
Energy relative to the elements, uncorrected, eV/f.u.: -4.87
M_tot, μB/cell: 18.00

a b c (Å): 7.3926 12.5199 8.5973
angles (deg): 90.00 95.91 90.00
With the nearest neighbours (Å) after each atom.
Space group P2_1/c (No. 14)
Asymmetric unit:
1 Fe 0.1906 0.0865 0.1885 (multiplicity 4)  4 Cl 2.14-2.30
2 Br 0.4153 0.6969 0.8895 (multiplicity 4)  2 Cl 2.45-2.47
3 Cl 0.0000 0.0000 0.0000 (multiplicity 2)  2 Fe 2.30
4 Cl 0.0627 0.2242 0.2759 (multiplicity 4)  1 Fe 2.14
5 Cl 0.2620 0.5238 0.8922 (multiplicity 4)  1 Fe 2.25, 1 Br 2.45
6 Cl 0.4437 0.1251 0.0723 (multiplicity 4)  1 Fe 2.26, 1 Br 2.47

=====

The following is a PBE calculation of crystalline Fe2BrCl at its relaxed geometry, from Alexandria via LeMat-Bulk.

Calculated density, g/cm³: 4.4
Energy relative to the elements, uncorrected, eV/f.u.: -0.48
Excess energy over the best structure of this formula in the dataset, kJ/mol of atoms: 0.0
M_tot, μB/cell: 6.01

a b c (Å): 3.5855 3.5979 6.6930
angles (deg): 90.00 90.00 90.00
With the nearest neighbours (Å) after each atom.
Space group Pmm2 (No. 25)
Asymmetric unit:
1 Fe 0.0000 0.0000 0.0000 (multiplicity 1)  2 Cl 2.43, 4 Fe 2.54, 2 Br 2.55
2 Fe 0.5000 0.5000 0.0008 (multiplicity 1)  2 Cl 2.43, 4 Fe 2.54, 2 Br 2.55
3 Br 0.0000 0.5000 0.7307 (multiplicity 1)  4 Fe 2.55
4 Cl 0.5000 0.0000 0.2453 (multiplicity 1)  4 Fe 2.43

=====

The following is a PBE calculation of crystalline FeBr2Cl at its relaxed geometry, from Alexandria via LeMat-Bulk.

Calculated density, g/cm³: 3.2
Energy relative to the elements, uncorrected, eV/f.u.: -0.48
Excess energy over the best structure of this formula in the dataset, kJ/mol of atoms: 38.0
M_tot, μB/cell: 8.25

a b c (Å): 3.2206 7.5567 10.5707
angles (deg): 90.00 90.00 90.00
With the nearest neighbours (Å) after each atom.
Space group Cmm2 (No. 35)
Asymmetric unit:
1 Fe 0.0000 0.0000 0.0000 (multiplicity 2)  2 Cl 2.30, 2 Br 2.44
2 Br 0.0000 0.0000 0.5057 (multiplicity 2)  2 Br 3.22
3 Br 0.0000 0.5000 0.1737 (multiplicity 2)  2 Fe 2.44
4 Cl 0.0000 0.5000 0.8442 (multiplicity 2)  2 Fe 2.30

=====

The following is a PBE calculation of crystalline Fe2BrCl at its relaxed geometry, from Alexandria via LeMat-Bulk.

Calculated density, g/cm³: 4.2
Energy relative to the elements, uncorrected, eV/f.u.: 0.69
Excess energy over the best structure of this formula in the dataset, kJ/mol of atoms: 28.4
M_tot, μB/cell: 6.29

a b c (Å): 5.1270 3.3034 5.2935
angles (deg): 90.00 92.27 90.00
With the nearest neighbours (Å) after each atom.
Space group P2/m (No. 10)
Asymmetric unit:
1 Fe 0.1577 0.0000 0.3611 (multiplicity 2)  1 Fe 2.23
2 Br 0.0000 0.5000 0.0000 (multiplicity 1)  4 Fe 2.63
3 Cl 0.5000 0.5000 0.5000 (multiplicity 1)  4 Fe 2.50

=====

The following is a PBE calculation of crystalline FeBr2Cl at its relaxed geometry, from Alexandria via LeMat-Bulk.

Calculated density, g/cm³: 4.8
Energy relative to the elements, uncorrected, eV/f.u.: 1.72
Excess energy over the best structure of this formula in the dataset, kJ/mol of atoms: 91.0
M_tot, μB/cell: 20.00

a b c (Å): 7.0076 7.0076 7.0076
angles (deg): 90.00 90.00 90.00
With the nearest neighbours (Å) after each atom.
Space group Fm-3m (No. 225)
Asymmetric unit:
1 Fe 0.0000 0.0000 0.0000 (multiplicity 4)  8 Br 3.03
2 Br 0.2500 0.2500 0.2500 (multiplicity 8)  4 Cl 3.03, 4 Fe 3.03
3 Cl 0.0000 0.0000 0.5000 (multiplicity 4)  8 Br 3.03

=====

The following is a PBE calculation of crystalline Fe6BrCl12 at its relaxed geometry, from Alexandria via LeMat-Bulk.

Calculated density, g/cm³: 2.7
Energy relative to the elements, uncorrected, eV/f.u.: -10.34
M_tot, μB/cell: 75.04

a b c (Å): 12.8878 12.8878 10.5879
angles (deg): 90.00 90.00 120.00
With the nearest neighbours (Å) after each atom.
Space group R-3m (No. 166, hexagonal axes)
Asymmetric unit:
1 Fe 0.0898 0.1797 0.2812 (multiplicity 18)  4 Cl 2.32-2.38
2 Br 0.0000 0.0000 0.5000 (multiplicity 3)  6 Fe 3.06
3 Cl 0.0000 0.3788 0.0000 (multiplicity 18)  2 Fe 2.38
4 Cl 0.0867 0.1735 0.8347 (multiplicity 18)  2 Fe 2.32

=====

The following is a PBE calculation of crystalline FeBr2Cl at its relaxed geometry, from Alexandria via LeMat-Bulk.

Calculated density, g/cm³: 3.4
Energy relative to the elements, uncorrected, eV/f.u.: -0.23
Excess energy over the best structure of this formula in the dataset, kJ/mol of atoms: 43.9
M_tot, μB/cell: 20.00

a b c (Å): 7.1613 7.1613 9.4498
angles (deg): 90.00 90.00 90.00
With the nearest neighbours (Å) after each atom.
Space group I-42d (No. 122)
Asymmetric unit:
1 Fe 0.0000 0.0000 0.0000 (multiplicity 4)  4 Br 2.42
2 Br 0.1572 0.2500 0.1250 (multiplicity 8)  2 Fe 2.42
3 Cl 0.0000 0.0000 0.5000 (multiplicity 4)  4 Br 3.26

=====

The following is a PBE calculation of crystalline FeBrCl at its relaxed geometry, from Alexandria via LeMat-Bulk.

Calculated density, g/cm³: 4.3
Energy relative to the elements, uncorrected, eV/f.u.: -0.38
Excess energy over the best structure of this formula in the dataset, kJ/mol of atoms: 42.7
M_tot, μB/cell: 16.00

a b c (Å): 6.4229 6.4229 6.4229
angles (deg): 90.00 90.00 90.00
With the nearest neighbours (Å) after each atom.
Space group F-43m (No. 216)
Asymmetric unit:
1 Fe 0.0000 0.0000 0.0000 (multiplicity 4)  4 Cl 2.78, 4 Br 2.78
2 Br 0.2500 0.2500 0.2500 (multiplicity 4)  4 Fe 2.78
3 Cl 0.2500 0.2500 0.7500 (multiplicity 4)  4 Fe 2.78

=====

The following is a PBE calculation of crystalline FeBrCl at its relaxed geometry, from Alexandria via LeMat-Bulk.

Calculated density, g/cm³: 2.9
Energy relative to the elements, uncorrected, eV/f.u.: -1.17
Excess energy over the best structure of this formula in the dataset, kJ/mol of atoms: 17.4
M_tot, μB/cell: 16.04

a b c (Å): 3.4663 7.7916 14.4505
angles (deg): 90.00 90.00 90.00
With the nearest neighbours (Å) after each atom.
Space group Fmm2 (No. 42)
Asymmetric unit:
1 Fe 0.0000 0.0000 0.0000 (multiplicity 4)  2 Cl 2.36, 2 Br 2.49
2 Br 0.0000 0.0000 0.3763 (multiplicity 4)  2 Fe 2.49
3 Cl 0.0000 0.0000 0.6107 (multiplicity 4)  2 Fe 2.36

=====

The following is a PBE calculation of crystalline FeBr2Cl at its relaxed geometry, from Alexandria via LeMat-Bulk.

Calculated density, g/cm³: 4.8
Energy relative to the elements, uncorrected, eV/f.u.: 2.03
Excess energy over the best structure of this formula in the dataset, kJ/mol of atoms: 98.5
M_tot, μB/cell: 9.03

a b c (Å): 4.7870 4.7870 7.6128
angles (deg): 90.00 90.00 90.00
With the nearest neighbours (Å) after each atom.
Space group I-4m2 (No. 119)
Asymmetric unit:
1 Fe 0.0000 0.0000 0.0000 (multiplicity 2)  4 Cl 3.06, 8 Br 3.06-3.38
2 Br 0.0000 0.0000 0.5000 (multiplicity 2)  4 Cl 3.06, 4 Br 3.06, 4 Fe 3.38
3 Br 0.0000 0.5000 0.7500 (multiplicity 2)  4 Fe 3.06, 4 Br 3.06, 4 Cl 3.38
4 Cl 0.0000 0.5000 0.2500 (multiplicity 2)  4 Fe 3.06, 8 Br 3.06-3.38

=====

The following is a PBE calculation of crystalline FeBr4Cl at its relaxed geometry, from Alexandria via LeMat-Bulk.

Calculated density, g/cm³: 4.3
Energy relative to the elements, uncorrected, eV/f.u.: 5.03
M_tot, μB/cell: 13.37

a b c (Å): 8.5985 8.5985 8.5985
angles (deg): 90.00 90.00 90.00
With the nearest neighbours (Å) after each atom.
Space group F-43m (No. 216)
Asymmetric unit:
1 Fe 0.0000 0.0000 0.0000 (multiplicity 4)  12 Br 3.57, 4 Cl 3.72
2 Br 0.1248 0.1248 0.6248 (multiplicity 16)  6 Br 3.04
3 Cl 0.2500 0.2500 0.2500 (multiplicity 4)  12 Br 3.56, 4 Fe 3.72

=====

The following is a PBE calculation of crystalline Fe2BrCl at its relaxed geometry, from Alexandria via LeMat-Bulk.

Calculated density, g/cm³: 5.0
Energy relative to the elements, uncorrected, eV/f.u.: 1.72
Excess energy over the best structure of this formula in the dataset, kJ/mol of atoms: 53.2
M_tot, μB/cell: 12.18

a b c (Å): 3.1103 6.0670 7.9311
angles (deg): 90.00 90.00 90.00
With the nearest neighbours (Å) after each atom.
Space group Cmmm (No. 65)
Asymmetric unit:
1 Fe 0.0000 0.0000 0.2420 (multiplicity 4)  2 Cl 2.47, 2 Br 2.57
2 Br 0.0000 0.5000 0.5000 (multiplicity 2)  4 Fe 2.57
3 Cl 0.0000 0.5000 0.0000 (multiplicity 2)  4 Fe 2.47

=====

The following is a PBE calculation of crystalline Fe2BrCl at its relaxed geometry, from Alexandria via LeMat-Bulk.

Calculated density, g/cm³: 5.1
Energy relative to the elements, uncorrected, eV/f.u.: 1.74
Excess energy over the best structure of this formula in the dataset, kJ/mol of atoms: 53.6
M_tot, μB/cell: 6.06

a b c (Å): 3.1131 3.9651 6.0179
angles (deg): 90.00 90.00 90.00
With the nearest neighbours (Å) after each atom.
Space group Pmmm (No. 47)
Asymmetric unit:
1 Fe 0.0000 0.0000 0.0000 (multiplicity 1)  4 Cl 2.52
2 Fe 0.5000 0.0000 0.5000 (multiplicity 1)  4 Br 2.52
3 Br 0.0000 0.5000 0.5000 (multiplicity 1)  4 Fe 2.52
4 Cl 0.5000 0.5000 0.0000 (multiplicity 1)  4 Fe 2.52

=====

The following is a PBE calculation of crystalline FeBr2Cl at its relaxed geometry, from Alexandria via LeMat-Bulk.

Calculated density, g/cm³: 3.4
Energy relative to the elements, uncorrected, eV/f.u.: -1.74
Excess energy over the best structure of this formula in the dataset, kJ/mol of atoms: 7.6
M_tot, μB/cell: 9.29

a b c (Å): 4.8040 14.0639 3.5964
angles (deg): 90.00 90.00 90.00
With the nearest neighbours (Å) after each atom.
Space group Cmmm (No. 65)
Asymmetric unit:
1 Fe 0.0000 0.0000 0.0000 (multiplicity 2)  2 Cl 2.40, 4 Br 2.55
2 Br 0.0000 0.1286 0.5000 (multiplicity 4)  2 Fe 2.55
3 Cl 0.0000 0.5000 0.0000 (multiplicity 2)  2 Fe 2.40

=====

The following is a PBE calculation of crystalline Fe2BrCl at its relaxed geometry, from Alexandria via LeMat-Bulk.

Calculated density, g/cm³: 5.6
Energy relative to the elements, uncorrected, eV/f.u.: 1.47
Excess energy over the best structure of this formula in the dataset, kJ/mol of atoms: 47.2
M_tot, μB/cell: 18.08

a b c (Å): 3.2352 3.2352 22.4022
angles (deg): 90.00 90.00 120.00
With the nearest neighbours (Å) after each atom.
Space group R-3m (No. 166, hexagonal axes)
Asymmetric unit:
1 Fe 0.0000 0.0000 0.2475 (multiplicity 6)  3 Cl 2.60, 3 Br 2.68
2 Br 0.0000 0.0000 0.0000 (multiplicity 3)  6 Fe 2.68
3 Cl 0.0000 0.0000 0.5000 (multiplicity 3)  6 Fe 2.60